{"formula": "TcSbH3", "functional": "PBE", "state": "relaxed", "lattice_angstrom": [[-0.8148, 2.5585, 2.1793], [-2.9720, -1.5958, 0.7623], [0.0124, -1.5729, 4.6009]], "species": ["Sb", "H", "H", "Tc", "H"], "frac_coords": [[0.3762, 0.1802, 0.9520], [0.1261, 0.4286, 0.4551], [0.6244, 0.9286, 0.4551], [0.0406, 0.8444, 0.6235], [0.8404, 0.6434, 0.0254]], "crystal_system": "tetragonal", "e_above_lowest_polymorph_mev_per_atom": 0}

***

{"formula": "YEr7Sc4", "functional": "PBE", "state": "relaxed", "lattice_angstrom": [[0.4647, -6.6556, 1.8443], [6.4413, -6.2196, 1.9023], [1.7653, 2.3284, 7.9757]], "species": ["Sc", "Er", "Er", "Y", "Er", "Sc", "Er", "Er", "Sc", "Er", "Sc", "Er"], "frac_coords": [[0.4691, 0.2761, 0.6616], [0.7757, 0.2242, 0.3369], [0.5000, 0.0000, 0.0000], [0.0000, 0.0000, 0.0000], [0.9728, 0.2831, 0.6603], [0.7167, 0.7832, 0.6607], [0.7519, 0.5027, 0.0043], [0.0272, 0.7169, 0.3397], [0.2833, 0.2168, 0.3393], [0.2481, 0.4973, 0.9957], [0.5309, 0.7239, 0.3384], [0.2243, 0.7758, 0.6631]], "crystal_system": "triclinic", "e_above_lowest_polymorph_mev_per_atom": 0, "delta_e_f_mev_per_atom": 20}

***

{"formula": "Ac12Co5Ag", "functional": "PBE", "state": "relaxed", "lattice_angstrom": [[-2.1634, 5.4966, 4.5073], [-6.6985, -0.2391, 3.2008], [6.0312, -8.4578, 9.0906]], "species": ["Ac", "Ac", "Ac", "Co", "Co", "Ac", "Ac", "Ac", "Ac", "Ac", "Co", "Ac", "Co", "Ac", "Ac", "Ag", "Ac", "Co"], "frac_coords": [[0.5394, 0.3316, 0.6112], [0.6771, 0.3638, 0.1211], [0.4044, 0.0000, 0.1210], [0.6667, 0.6666, 0.0000], [0.8335, 0.3330, 0.5000], [0.3229, 0.6362, 0.8789], [0.1290, 0.3316, 0.3888], [0.9591, 0.3638, 0.8789], [0.7972, 0.0000, 0.3883], [0.2028, 0.0000, 0.6117], [0.5000, 0.0000, 0.5000], [0.5956, 0.0000, 0.8790], [0.1665, 0.6671, 0.5000], [0.0409, 0.6362, 0.1211], [0.4606, 0.6684, 0.3888], [0.0000, 0.0000, 0.0000], [0.8710, 0.6684, 0.6112], [0.3333, 0.3334, 0.0000]], "crystal_system": "monoclinic", "delta_e_f_mev_per_atom": -29}

***

{"formula": "ZrFe2Pt", "functional": "PBE", "state": "relaxed", "lattice_angstrom": [[-0.0518, -1.7713, 2.6461], [-1.7151, -2.2143, -1.5158], [5.1272, -2.7705, -1.7542]], "species": ["Fe", "Fe", "Pt", "Zr"], "frac_coords": [[0.5000, 0.5000, 0.2296], [0.0000, 0.0000, 0.0290], [0.0000, 0.0000, 0.4802], [0.5000, 0.5000, 0.7612]], "crystal_system": "tetragonal", "delta_e_f_mev_per_atom": -301}

***

{"formula": "KCuSe", "functional": "PBE", "state": "relaxed", "lattice_angstrom": [[4.1954, 0.0000, 0.0000], [0.0000, 7.2672, 0.0000], [-2.0977, -3.6336, 14.7915]], "species": ["Se", "K", "Cu", "K", "Cu", "Se", "Se", "Se", "K", "Cu", "Se", "K", "Cu", "Cu", "Se", "K", "Cu", "K"], "frac_coords": [[0.2500, 0.4115, 0.5000], [0.1668, 0.6615, 0.3336], [0.7500, 0.5782, 0.5000], [0.8332, 0.3279, 0.6664], [0.0834, 0.2446, 0.1667], [0.9163, 0.7443, 0.8327], [0.5837, 0.4116, 0.1673], [0.4163, 0.2443, 0.8327], [0.3332, 0.8280, 0.6664], [0.9166, 0.0779, 0.8333], [0.7500, 0.9115, 0.5000], [0.6668, 0.1615, 0.3336], [0.2500, 0.0782, 0.5000], [0.4166, 0.5779, 0.8333], [0.0837, 0.9116, 0.1673], [0.5000, 0.9946, 0.0000], [0.5834, 0.7446, 0.1667], [0.0000, 0.4946, 0.0000]], "formation_energy_uncorrected_kj_per_mol_fu": -199, "crystal_system": "hexagonal"}

***

{"formula": "CsNaPb", "functional": "PBE", "state": "relaxed", "lattice_angstrom": [[-1.0663, -1.7557, 3.1256], [-1.9551, -4.7820, -3.3532], [5.8016, 0.1482, 2.0624]], "species": ["Cs", "Na", "Pb"], "frac_coords": [[0.6656, 0.6667, 0.3333], [0.1684, 0.3333, 0.6667], [0.1659, 0.0000, 0.0000]], "crystal_system": "trigonal", "e_above_lowest_polymorph_mev_per_atom": 90, "delta_e_f_mev_per_atom": -5}

***

{"formula": "CoCu2Au", "functional": "PBE", "state": "relaxed", "lattice_angstrom": [[4.3389, 0.0000, 0.0000], [0.0000, 2.6391, -0.0313], [0.0000, 0.4079, 4.7482]], "species": ["Cu", "Cu", "Au", "Co"], "frac_coords": [[0.0000, 0.9851, 0.9799], [0.0000, 0.5149, 0.5201], [0.5000, 0.2500, 0.2500], [0.5000, 0.7500, 0.7500]], "crystal_system": "monoclinic", "delta_e_f_mev_per_atom": 192}

***

{"formula": "DyTmPdPt", "functional": "PBE", "state": "relaxed", "lattice_angstrom": [[-0.2407, -2.1678, 3.0330], [4.4241, 0.4141, 0.6471], [-0.7081, 5.3134, 1.4407]], "species": ["Pd", "Pt", "Dy", "Tm"], "frac_coords": [[0.4121, 0.0000, 0.8242], [0.5868, 0.5000, 0.1736], [0.1383, 0.0000, 0.2766], [0.8628, 0.5000, 0.7257]], "crystal_system": "orthorhombic", "e_above_lowest_polymorph_mev_per_atom": 0, "delta_e_f_mev_per_atom": -1128}

***

{"formula": "ReB2SCl", "functional": "PBE", "state": "relaxed", "lattice_angstrom": [[4.3217, 0.0000, 0.0000], [0.0000, 4.4632, 0.0000], [0.0000, 0.0000, 4.3217]], "species": ["B", "S", "Cl", "Re", "B"], "frac_coords": [[0.5000, 0.0000, 0.0000], [0.0000, 0.5000, 0.0000], [0.5000, 0.5000, 0.5000], [0.0000, 0.0000, 0.0000], [0.0000, 0.0000, 0.5000]], "formation_energy_uncorrected_kj_per_mol_fu": 436, "crystal_system": "tetragonal"}

***

{"formula": "Pm6C2SCl3", "functional": "PBE", "state": "relaxed", "lattice_angstrom": [[6.6878, -0.0020, 0.0001], [-3.3440, 5.7918, 0.0001], [-1.1152, -1.9309, 7.0060]], "species": ["Pm", "Pm", "C", "Pm", "S", "Pm", "Cl", "Pm", "C", "Cl", "Cl", "Pm"], "frac_coords": [[0.5802, 0.9350, 0.8049], [0.4198, 0.0650, 0.1951], [0.6665, 0.3335, 0.0000], [0.0650, 0.4198, 0.1951], [0.0000, 0.0000, 0.0000], [0.7105, 0.7105, 0.1953], [0.5000, 0.5000, 0.5000], [0.2895, 0.2895, 0.8047], [0.3335, 0.6665, 0.0000], [0.1664, 0.8336, 0.5000], [0.8336, 0.1664, 0.5000], [0.9350, 0.5802, 0.8049]], "formation_energy_uncorrected_kj_per_mol_fu": -1495, "crystal_system": "monoclinic"}

***

{"formula": "LiGa2PS6", "functional": "PBE", "state": "relaxed", "lattice_angstrom": [[6.5941, 0.4647, 0.4823], [2.6728, 9.1035, -0.3887], [2.6728, -0.7258, 9.0829]], "species": ["S", "S", "Li", "Ga", "S", "P", "S", "P", "Ga", "S", "Ga", "S", "Li", "Ga", "S", "S", "S", "S", "S", "S"], "frac_coords": [[0.4430, 0.8314, 0.3917], [0.0508, 0.7501, 0.6249], [0.2500, 0.6504, 0.3496], [0.3503, 0.8048, 0.6534], [0.3939, 0.2121, 0.9519], [0.7500, 0.7914, 0.2086], [0.1061, 0.0481, 0.7879], [0.2500, 0.2086, 0.7914], [0.8503, 0.6534, 0.8048], [0.4492, 0.3751, 0.2499], [0.1497, 0.3466, 0.1952], [0.5508, 0.6249, 0.7501], [0.7500, 0.3496, 0.6504], [0.6497, 0.1952, 0.3466], [0.8939, 0.9519, 0.2121], [0.6061, 0.7879, 0.0481], [0.9492, 0.2499, 0.3751], [0.9430, 0.3917, 0.8314], [0.5570, 0.1686, 0.6083], [0.0570, 0.6083, 0.1686]], "formation_energy_uncorrected_kj_per_mol_fu": -509, "crystal_system": "monoclinic"}

***

{"formula": "Nd8PIr3Br3", "functional": "PBE", "state": "relaxed", "lattice_angstrom": [[-0.1044, -7.7415, -3.3311], [4.8873, 5.9786, -3.3858], [2.3390, -3.4102, 7.8544]], "species": ["Ir", "Ir", "Nd", "Nd", "Nd", "P", "Nd", "Nd", "Ir", "Nd", "Nd", "Nd", "Br", "Br", "Br"], "frac_coords": [[0.0000, 0.5000, 0.5000], [0.5000, 0.0000, 0.5000], [0.7604, 0.5208, 0.2966], [0.2396, 0.4792, 0.7034], [0.7339, 0.4679, 0.7019], [0.0000, 0.0000, 0.5000], [0.2395, 0.9636, 0.7032], [0.2661, 0.5321, 0.2981], [0.5000, 0.5000, 0.5000], [0.7242, 0.9637, 0.7032], [0.2758, 0.0363, 0.2968], [0.7605, 0.0364, 0.2968], [0.0000, 0.5000, 0.0000], [0.5000, 0.5000, 0.0000], [0.0000, 0.0000, 0.0000]], "formation_energy_uncorrected_kj_per_mol_fu": -1458, "crystal_system": "trigonal"}

***

| no. | DOS(E_F) (states/eV/cell) |
| --- | --- |
| 1 | 1.9 |
| 2 | 17.6 |
| 3 | 18.7 |
| 4 | 3.1 |
| 5 | 1.3 |
| 6 | 2.8 |
| 7 | 3.9 |
| 8 | 3.1 |
| 9 | 2.3 |
| 10 | 3.6 |
| 11 | 0.0 |
| 12 | 10.5 |